No. 1
# La4TmCd5 PBE relaxed
# * ΔH_f (0 K): -0.318 eV/atom
data_La4TmCd5
_chemical_formula_sum 'La4 Tm1 Cd5'
_space_group_name_H-M_alt 'P 4/m m m'
_space_group_IT_number 123
_space_group_name_Hall '-P 4 2'
_cell_length_a 3.849
_cell_length_b 3.849
_cell_length_c 19.835
_cell_angle_alpha 90.00
_cell_angle_beta 90.00
_cell_angle_gamma 90.00
loop_
_atom_site_label
_atom_site_fract_x
_atom_site_fract_y
_atom_site_fract_z
_atom_site_occupancy
La1 0.000 0.000 0.103 1
La2 0.000 0.000 0.308 1
Tm1 0.000 0.000 0.500 1
Cd1 0.500 0.500 0.000 1
Cd2 0.500 0.500 0.204 1
Cd3 0.500 0.500 0.414 1

No. 2
# SrAg6O4 PBE relaxed
# * E above lowest polymorph: 0.265 eV per atom
data_SrAg6O4
_chemical_formula_sum 'Sr2 Ag12 O8'
_space_group_name_H-M_alt 'I -4 2 m'
_space_group_IT_number 121
_space_group_name_Hall 'I -4 2'
_cell_length_a 6.454
_cell_length_b 6.454
_cell_length_c 8.779
_cell_angle_alpha 90.00
_cell_angle_beta 90.00
_cell_angle_gamma 90.00
loop_
_atom_site_label
_atom_site_fract_x
_atom_site_fract_y
_atom_site_fract_z
_atom_site_occupancy
Sr1 0.000 0.000 0.000 1
Ag1 0.000 0.500 0.000 1
Ag2 0.163 0.163 0.671 1
O1 0.241 0.241 0.406 1

No. 3
# Dy4ThSb5 PBE relaxed
# * E: -5.74 eV/atom
data_Dy4ThSb5
_chemical_formula_sum 'Dy8 Th2 Sb10'
_space_group_name_H-M_alt 'I m m m'
_space_group_IT_number 71
_space_group_name_Hall '-I 2 2'
_cell_length_a 4.414
_cell_length_b 6.250
_cell_length_c 22.037
_cell_angle_alpha 90.00
_cell_angle_beta 90.00
_cell_angle_gamma 90.00
loop_
_atom_site_label
_atom_site_fract_x
_atom_site_fract_y
_atom_site_fract_z
_atom_site_occupancy
Dy1 0.000 0.000 0.101 1
Dy2 0.000 0.000 0.297 1
Th1 0.000 0.000 0.500 1
Sb1 0.000 0.500 0.103 1
Sb2 0.000 0.500 0.301 1
Sb3 0.000 0.500 0.500 1

No. 4
# K3Sm2BiO6 PBE relaxed
# * E: -6.10 eV/atom
data_K3Sm2BiO6
_chemical_formula_sum 'K6 Sm4 Bi2 O12'
_space_group_name_H-M_alt 'C 1 2/m 1'
_space_group_IT_number 12
_space_group_name_Hall '-C 2y'
_cell_length_a 6.226
_cell_length_b 10.783
_cell_length_c 6.633
_cell_angle_alpha 90.00
_cell_angle_beta 108.22
_cell_angle_gamma 90.00
loop_
_atom_site_label
_atom_site_fract_x
_atom_site_fract_y
_atom_site_fract_z
_atom_site_occupancy
K1 0.000 0.000 0.000 1
K2 0.000 0.336 0.000 1
Sm1 0.000 0.167 0.500 1
Bi1 0.000 0.500 0.500 1
O1 0.223 0.000 0.694 1
O2 0.235 0.329 0.694 1

No. 5
# LaAl3 PBE relaxed
# * ΔH_f (0 K): -0.402 eV/atom
data_LaAl3
_chemical_formula_sum 'La2 Al6'
_space_group_name_H-M_alt 'P m m n'
_space_group_IT_number 59
_cell_length_a 4.536
_cell_length_b 6.152
_cell_length_c 6.330
_cell_angle_alpha 90.00
_cell_angle_beta 90.00
_cell_angle_gamma 90.00
loop_
_space_group_symop_operation_xyz
'x,y,z'
'-x,-y,-z'
'-x+1/2,-y+1/2,z'
'x+1/2,y+1/2,-z'
'x+1/2,-y,-z'
'-x+1/2,y,z'
'-x,y+1/2,-z'
'x,-y+1/2,z'
loop_
_atom_site_label
_atom_site_fract_x
_atom_site_fract_y
_atom_site_fract_z
_atom_site_occupancy
La1 0.250 0.250 0.105 1
Al1 0.250 0.011 0.630 1
Al2 0.250 0.750 0.272 1

No. 6
# Tb2Sc3Pb4 PBE relaxed
# * ΔH_f (0 K): -0.526 eV/atom
data_Tb2Sc3Pb4
_chemical_formula_sum 'Tb4 Sc6 Pb8'
_space_group_name_H-M_alt 'P 1 21/c 1'
_space_group_IT_number 14
_space_group_name_Hall '-P 2ybc'
_cell_length_a 8.101
_cell_length_b 8.061
_cell_length_c 7.875
_cell_angle_alpha 90.00
_cell_angle_beta 111.44
_cell_angle_gamma 90.00
loop_
_atom_site_label
_atom_site_fract_x
_atom_site_fract_y
_atom_site_fract_z
_atom_site_occupancy
Tb1 0.192 0.180 0.053 1
Sc1 0.246 0.655 0.239 1
Sc2 0.500 0.000 0.500 1
Pb1 0.088 0.545 0.833 1
Pb2 0.496 0.143 0.857 1